ZnNi3O | Alexandria | PBE+U | optimized geometry; relative energy among the computed polymorphs = 1191.0 meV per atom; DFT total energy = -0.1106 Ry per atom; space-group type = No. 221; N(E_F) = 1.98 states/eV per cell
1.0
4.3876 0.0000 0.0000
0.0000 4.3876 0.0000
0.0000 0.0000 4.3876
Zn Ni O
1 3 1
Cartesian
0.0000 0.0000 0.0000 Zn
0.0000 0.0000 2.1938 Ni
0.0000 2.1938 0.0000 Ni
2.1938 0.0000 0.0000 Ni
2.1938 2.1938 2.1938 O